VASP calculation (GGA-PBEsol) on a relaxed MnZn2Os crystal.

Summary:
offset from the most stable computed form	167	meV/atom
formation energy	0.1903	eV/atom

a = 2.608 Å, b = 4.068 Å, c = 5.083 Å
α = 90.00°, β = 101.64°, γ = 90.00°
Fractional positions:
Mn1 0.000 0.000 0.000
Zn1 0.335 0.000 0.500
Zn2 0.369 0.500 0.761
Os1 0.727 0.500 0.262

=====

VASP calculation (GGA-PBEsol) on a relaxed SbPb3 crystal.

a = 11.651 Å, b = 11.651 Å, c = 11.651 Å
α = 16.84°, β = 16.84°, γ = 16.84°
Fractional positions:
Sb1 0.000 0.000 0.000
Pb1 0.251 0.251 0.251
Pb2 0.500 0.500 0.500
Pb3 0.749 0.749 0.749

=====

VASP calculation (GGA-PBEsol) on a relaxed CoSiSn3 crystal.

a = 5.082 Å, b = 5.082 Å, c = 5.082 Å
α = 90.00°, β = 90.00°, γ = 90.00°
Fractional positions:
Co1 0.000 0.000 0.000
Si1 0.500 0.500 0.500
Sn1 0.000 0.500 0.500
Sn2 0.500 0.000 0.500
Sn3 0.500 0.500 0.000

=====

VASP calculation (GGA-PBEsol) on a relaxed SrLi2Tl crystal.

Summary:
formation energy	-0.1784	eV/atom

a = 3.730 Å, b = 3.730 Å, c = 7.766 Å
α = 90.00°, β = 90.00°, γ = 90.00°
Fractional positions:
Sr1 0.000 0.000 0.000
Li1 0.000 0.000 0.468
Li2 0.500 0.500 0.660
Tl1 0.500 0.500 0.286

=====

Across the entries above, raw total energy takes the values -6.095 -4.073 -4.149 -2.279 eV/atom, respectively.